No. 1
The following is a PBE calculation of a relaxed TiTcI2 crystal, from the Alexandria database.

Values from the calculation:
Its crystal system is cubic. The uncorrected energy comes out at -4.71 eV/atom. The value obtained for the density is 8398 kg/m³. Its raw formation energy is 14.469 kcal/mol of atoms.

abc: 4.8170 4.8170 4.8170
angles: 60.00 60.00 60.00
Closest atoms and distances in Å follow each position.
Positions (direct):
1 I 0.2500 0.2500 0.2500  4 Tc 2.95, 4 Ti 2.95
2 I 0.7500 0.7500 0.7500  4 Tc 2.95, 4 Ti 2.95
3 Tc 0.5000 0.5000 0.5000  8 I 2.95
4 Ti 0.0000 0.0000 0.0000  8 I 2.95


No. 2
The following is a PBE calculation of a relaxed LiPm2Pu crystal, from the Alexandria database.

Values from the calculation:
The formation energy from the elements comes out at 0.718 eV per formula unit. Its crystal system is tetragonal. The relative energy among the computed polymorphs comes out at 2.31 kJ/mol of atoms. The uncorrected energy comes out at -6.26 eV/atom. The value obtained for the density is 7836 kg/m³.

abc: 3.5649 5.6705 5.6705
angles: 90.00 90.00 90.00
Closest atoms and distances in Å follow each position.
Positions (direct):
1 Pm 0.0000 0.0000 0.5000  4 Li 3.35, 4 Pu 3.35, 2 Pm 3.56
2 Pm 0.0000 0.5000 0.0000  4 Li 3.35, 4 Pu 3.35, 2 Pm 3.56
3 Li 0.5000 0.5000 0.5000  8 Pm 3.35, 2 Li 3.56
4 Pu 0.5000 0.0000 0.0000  8 Pm 3.35, 2 Pu 3.56


No. 3
The following is a PBE calculation of a relaxed TaVCrNi crystal, from the Alexandria database.

Values from the calculation:
The formation energy from the elements comes out at -0.068 eV per formula unit. Its crystal system is cubic. The uncorrected energy comes out at -9.11 eV/atom. The value obtained for the density is 10481 kg/m³.

abc: 4.2499 4.2499 4.2499
angles: 60.00 60.00 60.00
Closest atoms and distances in Å follow each position.
Positions (direct):
1 Ni 0.5000 0.5000 0.5000  4 V 2.60, 4 Ta 2.60
2 V 0.7500 0.7500 0.7500  4 Ni 2.60, 4 Cr 2.60
3 Cr 0.0000 0.0000 0.0000  4 Ta 2.60, 4 V 2.60
4 Ta 0.2500 0.2500 0.2500  4 Ni 2.60, 4 Cr 2.60


No. 4
The following is a PBE calculation of a relaxed Ac8Sb3PSe4 crystal, from the Alexandria database.

Values from the calculation:
Its crystal system is trigonal. The uncorrected energy comes out at -5.63 eV/atom. The value obtained for the density is 7628 kg/m³. Its raw formation energy is -36.647 kcal/mol of atoms.

abc: 9.2407 9.1578 9.2401
angles: 120.31 120.00 90.00
Closest atoms and distances in Å follow each position.
Positions (direct):
1 Ac 0.2426 0.7487 0.0062  1 P 3.16, 3 Se 3.21-3.35, 2 Sb 3.29
2 Ac 0.2426 0.7487 0.4852  1 P 3.16, 3 Se 3.21-3.35, 2 Sb 3.29
3 Ac 0.2466 0.2401 0.4933  3 Se 3.21, 3 Sb 3.30
4 Ac 0.7635 0.7487 0.0062  1 P 3.16, 3 Se 3.21-3.35, 2 Sb 3.29
5 Ac 0.2365 0.2513 0.9938  1 P 3.16, 3 Se 3.21-3.35, 2 Sb 3.29
6 Ac 0.7534 0.7599 0.5067  3 Se 3.21, 3 Sb 3.30
7 Ac 0.7574 0.2513 0.5148  1 P 3.16, 3 Se 3.21-3.35, 2 Sb 3.29
8 Ac 0.7574 0.2513 0.9938  1 P 3.16, 3 Se 3.21-3.35, 2 Sb 3.29
9 Sb 0.5000 0.5000 0.0000  6 Ac 3.29-3.30
10 Sb 0.5000 0.5000 0.5000  6 Ac 3.29-3.30
11 Sb 0.0000 0.5000 0.5000  6 Ac 3.29-3.30
12 P 0.0000 0.5000 0.0000  6 Ac 3.16
13 Se 0.5000 0.0000 0.0000  6 Ac 3.35
14 Se 0.5000 0.0000 0.5000  6 Ac 3.21
15 Se 0.0000 0.0000 0.0000  6 Ac 3.21
16 Se 0.0000 0.0000 0.5000  6 Ac 3.21


No. 5
The following is a PBE calculation of a relaxed Pm2Co2Os crystal, from the Alexandria database.

Values from the calculation:
The formation energy from the elements comes out at -0.500 eV per formula unit. Its crystal system is monoclinic. The uncorrected energy comes out at -7.09 eV/atom. The value obtained for the density is 10214 kg/m³.

abc: 5.3396 5.3396 7.8706
angles: 79.37 79.37 62.57
Closest atoms and distances in Å follow each position.
Positions (direct):
1 Pm 0.4587 0.2359 0.1543  6 Co 2.91-3.20, 2 Os 3.10-3.23
2 Pm 0.7641 0.5413 0.3457  6 Co 2.91-3.20, 2 Os 3.10-3.23
3 Pm 0.5413 0.7641 0.8457  6 Co 2.91-3.20, 2 Os 3.10-3.23
4 Pm 0.2359 0.4587 0.6543  6 Co 2.91-3.20, 2 Os 3.10-3.23
5 Co 0.7693 0.0002 0.5011  2 Os 2.41-2.42, 1 Co 2.46
6 Co 0.9998 0.2307 0.9989  2 Os 2.41-2.42, 1 Co 2.46
7 Co 0.2307 0.9998 0.4989  2 Os 2.41-2.42, 1 Co 2.46
8 Co 0.0002 0.7693 0.0011  2 Os 2.41-2.42, 1 Co 2.46
9 Os 0.1189 0.8811 0.2500  4 Co 2.41-2.42
10 Os 0.8811 0.1189 0.7500  4 Co 2.41-2.42


No. 6
The following is a PBE calculation of a relaxed AlAsP2 crystal, from the Alexandria database.

Values from the calculation:
The formation energy from the elements comes out at -0.325 eV per formula unit. Its crystal system is tetragonal. The relative energy among the computed polymorphs comes out at 0.00 kJ/mol of atoms. The uncorrected energy comes out at -4.88 eV/atom. The value obtained for the density is 3857 kg/m³.

abc: 3.6139 3.6138 5.4013
angles: 90.00 90.00 90.00
Closest atoms and distances in Å follow each position.
Positions (direct):
1 P 0.0000 0.0000 0.8953  1 Al 2.49, 4 As 2.57
2 P 0.5000 0.5000 0.4080  1 As 2.34, 4 Al 2.57
3 As 0.5000 0.5000 0.8407  5 P 2.34-2.57
4 Al 0.0000 0.0000 0.3560  5 P 2.49-2.57


No. 7
The following is a PBE calculation of a relaxed Dy4HfP5 crystal, from the Alexandria database.

Values from the calculation:
The formation energy from the elements comes out at -15.444 eV per formula unit. Its crystal system is tetragonal. The uncorrected energy comes out at -7.09 eV/atom. The value obtained for the density is 7574 kg/m³.

abc: 5.5757 6.8147 6.8147
angles: 80.37 65.85 65.85
Closest atoms and distances in Å follow each position.
Positions (direct):
1 Dy 0.4042 0.3973 0.7963  6 P 2.78-2.86
2 Dy 0.8015 0.7963 0.6027  6 P 2.78-2.86
3 Dy 0.2005 0.2037 0.3973  6 P 2.78-2.86
4 Dy 0.5978 0.6027 0.2037  6 P 2.78-2.86
5 Hf 0.0011 0.0000 0.0000  6 P 2.68-2.79
6 P 0.9043 0.3855 0.8080  1 Hf 2.68, 5 Dy 2.79-2.86
7 P 0.2898 0.8080 0.6145  1 Hf 2.68, 5 Dy 2.79-2.86
8 P 0.7123 0.1920 0.3855  1 Hf 2.68, 5 Dy 2.79-2.86
9 P 0.0977 0.6145 0.1920  1 Hf 2.68, 5 Dy 2.79-2.86
10 P 0.5011 0.0000 0.0000  4 Dy 2.78, 2 Hf 2.79


No. 8
The following is a PBE calculation of a relaxed SmHfNiIr crystal, from the Alexandria database.

Values from the calculation:
The formation energy from the elements comes out at -1.941 eV per formula unit. Its crystal system is cubic. The uncorrected energy comes out at -7.81 eV/atom. The value obtained for the density is 12692 kg/m³.

abc: 4.7515 4.7515 4.7515
angles: 60.00 60.00 60.00
Closest atoms and distances in Å follow each position.
Positions (direct):
1 Ni 0.5000 0.5000 0.5000  4 Hf 2.91, 4 Sm 2.91
2 Ir 0.0000 0.0000 0.0000  4 Hf 2.91, 4 Sm 2.91
3 Hf 0.2500 0.2500 0.2500  4 Ni 2.91, 4 Ir 2.91
4 Sm 0.7500 0.7500 0.7500  4 Ni 2.91, 4 Ir 2.91


No. 9
The following is a PBE calculation of a relaxed Er2Ta2Ni15 crystal, from the Alexandria database.

Values from the calculation:
The formation energy from the elements comes out at -5.109 eV per formula unit. Its crystal system is trigonal. The uncorrected energy comes out at -6.56 eV/atom. The value obtained for the density is 10448 kg/m³.

abc: 6.3628 6.3628 6.3628
angles: 81.93 81.93 81.93
Closest atoms and distances in Å follow each position.
Positions (direct):
1 Er 0.3509 0.3509 0.3509  15 Ni 2.94-3.24, 1 Ta 3.09
2 Er 0.6491 0.6491 0.6491  15 Ni 2.94-3.24, 1 Ta 3.09
3 Ta 0.1035 0.1035 0.1035  12 Ni 2.53-2.82, 1 Ta 2.58
4 Ta 0.8965 0.8965 0.8965  12 Ni 2.53-2.82, 1 Ta 2.58
5 Ni 0.5000 0.0000 0.0000  8 Ni 2.42-2.44, 2 Ta 2.53
6 Ni 0.0000 0.0000 0.5000  8 Ni 2.42-2.44, 2 Ta 2.53
7 Ni 0.0000 0.5000 0.0000  8 Ni 2.42-2.44, 2 Ta 2.53
8 Ni 0.0000 0.6994 0.3006  8 Ni 2.44-2.56
9 Ni 0.6994 0.3006 0.0000  8 Ni 2.44-2.56
10 Ni 0.3006 0.0000 0.6994  8 Ni 2.44-2.56
11 Ni 0.3006 0.6994 0.0000  8 Ni 2.44-2.56
12 Ni 0.6994 0.0000 0.3006  8 Ni 2.44-2.56
13 Ni 0.0000 0.3006 0.6994  8 Ni 2.44-2.56
14 Ni 0.1574 0.6545 0.6545  8 Ni 2.41-2.56, 1 Ta 2.59
15 Ni 0.6545 0.6545 0.1574  8 Ni 2.41-2.56, 1 Ta 2.59
16 Ni 0.6545 0.1574 0.6545  8 Ni 2.41-2.56, 1 Ta 2.59
17 Ni 0.8426 0.3455 0.3455  8 Ni 2.41-2.56, 1 Ta 2.59
18 Ni 0.3455 0.3455 0.8426  8 Ni 2.41-2.56, 1 Ta 2.59
19 Ni 0.3455 0.8426 0.3455  8 Ni 2.41-2.56, 1 Ta 2.59


No. 10
The following is a PBE calculation of a relaxed CrH3N crystal, from the Alexandria database.

Values from the calculation:
Its crystal system is cubic. The uncorrected energy comes out at -4.35 eV/atom. The value obtained for the density is 3041 kg/m³.

abc: 3.3527 3.3527 3.3527
angles: 90.00 90.00 90.00
Closest atoms and distances in Å follow each position.
Positions (direct):
1 Cr 0.0000 0.0000 0.0000  6 H 1.68
2 H 0.0000 0.5000 0.0000  2 Cr 1.68
3 H 0.0000 0.0000 0.5000  2 Cr 1.68
4 H 0.5000 0.0000 0.0000  2 Cr 1.68
5 N 0.5000 0.5000 0.5000  12 H 2.37


No. 11
The following is a PBE calculation of a relaxed Sr2BeP crystal, from the Alexandria database.

Values from the calculation:
The formation energy from the elements comes out at -0.668 eV per formula unit. Its crystal system is orthorhombic. The relative energy among the computed polymorphs comes out at 26.60 kJ/mol of atoms. The uncorrected energy comes out at -3.29 eV/atom. The value obtained for the density is 3419 kg/m³.

abc: 3.7173 3.9240 7.1671
angles: 90.00 90.00 90.00
Closest atoms and distances in Å follow each position.
Positions (direct):
1 Sr 0.0000 0.0000 0.9818  4 P 3.17, 4 Be 3.32, 1 Sr 3.32
2 Sr 0.0000 0.0000 0.5182  4 P 3.17, 4 Be 3.32, 1 Sr 3.32
3 Be 0.5000 0.5000 0.2500  8 Sr 3.32, 2 P 3.58
4 P 0.5000 0.5000 0.7500  8 Sr 3.17


No. 12
The following is a PBE calculation of a relaxed BeVS2Cl crystal, from the Alexandria database.

Values from the calculation:
Its crystal system is tetragonal. The relative energy among the computed polymorphs comes out at 0.00 kJ/mol of atoms. The uncorrected energy comes out at -4.53 eV/atom. The value obtained for the density is 3194 kg/m³. Its raw formation energy is 1.446 kcal/mol of atoms.

abc: 4.3520 4.3520 4.3798
angles: 90.00 90.00 90.00
Closest atoms and distances in Å follow each position.
Positions (direct):
1 Be 0.0000 0.0000 0.0000  4 S 2.18, 2 Cl 2.19
2 S 0.0000 0.5000 0.0000  2 Be 2.18
3 S 0.5000 0.0000 0.0000  2 Be 2.18
4 Cl 0.0000 0.0000 0.5000  2 Be 2.19
5 V 0.5000 0.5000 0.5000  4 Cl 3.08, 8 S 3.09